[1]
Entry from the Alexandria database: crystalline TbY2Mg at its relaxed geometry (GGA-PBE).

Geometry as CIF:
```
data_TbY2Mg
_symmetry_space_group_name_H-M 'P 4/m m m'
_symmetry_Int_Tables_number 123
_symmetry_space_group_name_Hall '-P 4 2'
_cell_length_a 4.933
_cell_length_b 4.933
_cell_length_c 4.927
_cell_angle_alpha 90.00
_cell_angle_beta 90.00
_cell_angle_gamma 90.00
loop_
_atom_site_label
_atom_site_type_symbol
_atom_site_fract_x
_atom_site_fract_y
_atom_site_fract_z
_atom_site_occupancy
Tb1 Tb 0.000 0.000 0.000 1
Y1 Y 0.000 0.500 0.500 1
Mg1 Mg 0.500 0.500 0.000 1
```

ΔH_f (0 K), kJ per mole of atoms: 2
Energy relative to the lowest polymorph listed for this composition, meV/atom: 58

---

[2]
Entry from the Alexandria database: crystalline PrTh2Cd at its relaxed geometry (GGA-PBE).

Geometry as CIF:
```
data_PrTh2Cd
_symmetry_space_group_name_H-M 'P 4/m m m'
_symmetry_Int_Tables_number 123
_symmetry_space_group_name_Hall '-P 4 2'
_cell_length_a 3.552
_cell_length_b 3.552
_cell_length_c 9.925
_cell_angle_alpha 90.00
_cell_angle_beta 90.00
_cell_angle_gamma 90.00
loop_
_atom_site_label
_atom_site_type_symbol
_atom_site_fract_x
_atom_site_fract_y
_atom_site_fract_z
_atom_site_occupancy
Pr1 Pr 0.000 0.000 0.000 1
Th1 Th 0.500 0.500 0.270 1
Cd1 Cd 0.000 0.000 0.500 1
```

ΔH_f (0 K), kJ per mole of atoms: 4
Energy relative to the lowest polymorph listed for this composition, meV/atom: 57

---

[3]
Entry from the Alexandria database: crystalline Ac8SiIr3Br3 at its relaxed geometry (GGA-PBE).

Geometry as CIF:
```
data_Ac8SiIr3Br3
_symmetry_space_group_name_H-M 'C 1 2/m 1'
_symmetry_Int_Tables_number 12
_cell_length_a 15.458
_cell_length_b 8.916
_cell_length_c 9.383
_cell_angle_alpha 90.00
_cell_angle_beta 123.39
_cell_angle_gamma 90.00
loop_
_symmetry_equiv_pos_as_xyz
'x,y,z'
'-x,-y,-z'
'-x,y,-z'
'x,-y,z'
'x+1/2,y+1/2,z'
'-x+1/2,-y+1/2,-z'
'-x+1/2,y+1/2,-z'
'x+1/2,-y+1/2,z'
loop_
_atom_site_label
_atom_site_type_symbol
_atom_site_fract_x
_atom_site_fract_y
_atom_site_fract_z
_atom_site_occupancy
Ac1 Ac 0.019 0.238 0.296 1
Ac2 Ac 0.235 0.000 0.703 1
Ac3 Ac 0.243 0.500 0.704 1
Si1 Si 0.000 0.500 0.500 1
Ir1 Ir 0.000 0.000 0.500 1
Ir2 Ir 0.250 0.250 0.500 1
Br1 Br 0.000 0.500 0.000 1
Br2 Br 0.250 0.250 0.000 1
```

ΔE_f (raw), meV/atom: -967

---

[4]
Entry from the Alexandria database: crystalline In3RuS at its relaxed geometry (GGA-PBE).

Geometry as CIF:
```
data_In3RuS
_symmetry_space_group_name_H-M 'P m -3 m'
_symmetry_Int_Tables_number 221
_symmetry_space_group_name_Hall '-P 4 2 3'
_cell_length_a 5.113
_cell_length_b 5.113
_cell_length_c 5.113
_cell_angle_alpha 90.00
_cell_angle_beta 90.00
_cell_angle_gamma 90.00
loop_
_atom_site_label
_atom_site_type_symbol
_atom_site_fract_x
_atom_site_fract_y
_atom_site_fract_z
_atom_site_occupancy
In1 In 0.000 0.000 0.500 1
Ru1 Ru 0.500 0.500 0.500 1
S1 S 0.000 0.000 0.000 1
```

ΔE_f (raw), meV/atom: 933
Energy relative to the lowest polymorph listed for this composition, meV/atom: 697

---

[5]
Entry from the Alexandria database: crystalline Sr2LiCu3Sb4 at its relaxed geometry (GGA-PBE).

Geometry as CIF:
```
data_Sr2LiCu3Sb4
_symmetry_space_group_name_H-M 'P -4 m 2'
_symmetry_Int_Tables_number 115
_cell_length_a 4.583
_cell_length_b 4.583
_cell_length_c 11.130
_cell_angle_alpha 90.00
_cell_angle_beta 90.00
_cell_angle_gamma 90.00
loop_
_symmetry_equiv_pos_as_xyz
'x,y,z'
'y,-x,-z'
'-x,-y,z'
'-y,x,-z'
'-x,y,z'
'-y,-x,-z'
'x,-y,z'
'y,x,-z'
loop_
_atom_site_label
_atom_site_type_symbol
_atom_site_fract_x
_atom_site_fract_y
_atom_site_fract_z
_atom_site_occupancy
Sr1 Sr 0.000 0.500 0.240 1
Li1 Li 0.500 0.500 0.000 1
Cu1 Cu 0.000 0.000 0.000 1
Cu2 Cu 0.000 0.500 0.634 1
Sb1 Sb 0.000 0.000 0.500 1
Sb2 Sb 0.000 0.500 0.867 1
Sb3 Sb 0.500 0.500 0.500 1
```

ΔE_f (raw), meV/atom: -526

---

[6]
Entry from the Alexandria database: crystalline Li6ReP4 at its relaxed geometry (GGA-PBE).

Geometry as CIF:
```
data_Li6ReP4
_symmetry_space_group_name_H-M 'P 42/n m c'
_symmetry_Int_Tables_number 137
_cell_length_a 7.950
_cell_length_b 7.950
_cell_length_c 6.128
_cell_angle_alpha 90.00
_cell_angle_beta 90.00
_cell_angle_gamma 90.00
loop_
_symmetry_equiv_pos_as_xyz
'x,y,z'
'-x,-y,-z'
'-y+1/2,x,z+1/2'
'y+1/2,-x,-z+1/2'
'-x+1/2,-y+1/2,z'
'x+1/2,y+1/2,-z'
'y,-x+1/2,z+1/2'
'-y,x+1/2,-z+1/2'
'x+1/2,-y,-z'
'-x+1/2,y,z'
'-y,-x,-z+1/2'
'y,x,z+1/2'
'-x,y+1/2,-z'
'x,-y+1/2,z'
'y+1/2,x+1/2,-z+1/2'
'-y+1/2,-x+1/2,z+1/2'
loop_
_atom_site_label
_atom_site_type_symbol
_atom_site_fract_x
_atom_site_fract_y
_atom_site_fract_z
_atom_site_occupancy
Li1 Li 0.024 0.524 0.250 1
Li2 Li 0.250 0.250 0.183 1
Re1 Re 0.250 0.750 0.750 1
P1 P 0.010 0.750 0.548 1
```

ΔH_f (0 K), kJ per mole of atoms: -47

---

[7]
Entry from the Alexandria database: crystalline Gd2HfCd at its relaxed geometry (GGA-PBE).

Geometry as CIF:
```
data_Gd2HfCd
_symmetry_space_group_name_H-M 'R -3 m'
_symmetry_Int_Tables_number 166
_symmetry_space_group_name_Hall '-R 3 2"'
_cell_length_a 3.2507
_cell_length_b 3.2507
_cell_length_c 35.5940
_cell_angle_alpha 90.00
_cell_angle_beta 90.00
_cell_angle_gamma 120.00
loop_
_atom_site_label
_atom_site_type_symbol
_atom_site_fract_x
_atom_site_fract_y
_atom_site_fract_z
_atom_site_occupancy
Gd1 Gd 0.0000 0.0000 0.0882 1
Hf1 Hf 0.0000 0.0000 0.0000 1
Cd1 Cd 0.0000 0.0000 0.5000 1
```

ΔH_f (0 K), kJ per mole of atoms: 29
Energy relative to the lowest polymorph listed for this composition, meV/atom: 385

---

[8]
Entry from the Alexandria database: crystalline CaZnAs2 at its relaxed geometry (GGA-PBE).

Geometry as CIF:
```
data_CaZnAs2
_symmetry_space_group_name_H-M 'C 1 2/m 1'
_symmetry_Int_Tables_number 12
_cell_length_a 8.646
_cell_length_b 3.897
_cell_length_c 5.581
_cell_angle_alpha 90.00
_cell_angle_beta 113.10
_cell_angle_gamma 90.00
loop_
_symmetry_equiv_pos_as_xyz
'x,y,z'
'-x,-y,-z'
'-x,y,-z'
'x,-y,z'
'x+1/2,y+1/2,z'
'-x+1/2,-y+1/2,-z'
'-x+1/2,y+1/2,-z'
'x+1/2,-y+1/2,z'
loop_
_atom_site_label
_atom_site_type_symbol
_atom_site_fract_x
_atom_site_fract_y
_atom_site_fract_z
_atom_site_occupancy
Ca1 Ca 0.000 0.000 0.000 1
Zn1 Zn 0.000 0.500 0.500 1
As1 As 0.225 0.000 0.680 1
```

ΔH_f (0 K), kJ per mole of atoms: -35

---

What is the formula in the fourth record? In3RuS

---

Number 8 is which compound? CaZnAs2